# 1
3
Lattice="4.409 0.000 0.000 -2.205 3.819 0.000 0.000 0.000 3.629" Properties=species:S:1:pos:R:3 comment="PuGeMo | Alexandria via LeMat-Bulk | GGA-PBE | relaxed" total_energy_ev_per_atom=-9.90 dos_at_fermi_per_ev_cell=6.1 pbc="T T T"
Pu 0.000 0.000 0.000
Ge 0.000 2.546 1.814
Mo 2.205 1.273 1.814

---

# 2
12
Lattice="9.373 0.000 0.000 0.000 5.264 0.000 0.000 0.000 8.324" Properties=species:S:1:pos:R:3 comment="RbScPb | Alexandria via LeMat-Bulk | GGA-PBE | relaxed" de_polymorph_mev_per_atom=143.4 dos_at_fermi_per_ev_cell=0.0 pbc="T T T"
Rb 0.083 1.316 1.184
Rb 4.603 3.948 5.346
Rb 4.770 1.316 2.977
Rb 9.290 3.948 7.139
Sc 1.247 3.948 3.580
Sc 3.440 1.316 7.741
Sc 5.933 3.948 0.582
Sc 8.126 1.316 4.744
Pb 1.693 1.316 5.183
Pb 2.993 3.948 1.021
Pb 6.380 1.316 7.302
Pb 7.680 3.948 3.141

---

# 3
8
Lattice="7.747 0.000 0.000 0.000 4.459 0.000 -2.567 0.000 8.103" Properties=species:S:1:pos:R:3 comment="PrTmIn2Te4 | Alexandria via LeMat-Bulk | GGA-PBE | relaxed" formation_energy_uncorrected_ev_per_atom=-0.963 dos_at_fermi_per_ev_cell=0.3 pbc="T T T"
Pr 0.000 0.000 0.000
Tm 3.874 2.230 0.000
In -1.283 2.230 4.052
In 2.590 0.000 4.052
Te 1.383 2.230 1.827
Te 0.100 0.000 6.331
Te 5.081 0.000 1.772
Te 3.798 2.230 6.276

---

# 4
4
Lattice="3.682 0.000 0.000 0.000 3.682 0.000 0.000 0.000 5.977" Properties=species:S:1:pos:R:3 comment="FeSe | Alexandria via LeMat-Bulk | GGA-PBE | relaxed" formation_energy_uncorrected_ev_per_atom=-0.281 dos_at_fermi_per_ev_cell=2.4 pbc="T T T"
Fe 0.920 2.761 0.000
Fe 2.761 0.920 0.000
Se 0.920 0.920 1.384
Se 2.761 2.761 4.593

---

# 5
11
Lattice="9.301 -2.751 0.000 9.301 2.751 0.000 -2.525 0.000 6.402" Properties=species:S:1:pos:R:3 comment="La8Al2Co | Alexandria via LeMat-Bulk | GGA-PBE | relaxed" total_energy_ev_per_atom=-5.07 dos_at_fermi_per_ev_cell=11.4 pbc="T T T"
La -0.622 0.000 1.827
La 2.045 0.000 4.843
La 5.082 0.000 3.671
La 7.357 0.000 0.677
La 8.720 0.000 5.725
La 10.994 0.000 2.731
La 14.032 0.000 1.559
La 16.698 0.000 4.575
Al 2.750 0.000 1.211
Al 13.326 0.000 5.191
Co 8.038 0.000 3.201

---

# 6
12
Lattice="3.675 -6.365 0.000 3.675 6.365 0.000 -2.453 0.000 6.961" Properties=species:S:1:pos:R:3 comment="Pm6SbSe5 | Alexandria via LeMat-Bulk | GGA-PBE | relaxed" formation_energy_uncorrected_ev_per_atom=-1.726 dos_at_fermi_per_ev_cell=5.6 pbc="T T T"
Pm -0.032 2.165 5.162
Pm 1.159 0.000 1.770
Pm -0.032 -2.165 5.162
Pm 4.929 2.165 1.798
Pm 3.738 0.000 5.191
Pm 4.929 -2.165 1.798
Sb 3.675 0.000 0.000
Se -1.226 0.000 3.480
Se 3.675 4.230 0.000
Se 2.449 2.066 3.480
Se 2.449 -2.066 3.480
Se 3.675 -4.230 0.000

---

# 7
5
Lattice="3.843 0.000 0.000 0.000 3.843 0.000 0.000 0.000 6.136" Properties=species:S:1:pos:R:3 comment="TiAgSnO2 | Alexandria via LeMat-Bulk | GGA-PBE | relaxed" formation_energy_uncorrected_ev_per_atom=-1.126 dos_at_fermi_per_ev_cell=2.8 pbc="T T T"
Ti 0.000 0.000 0.000
Ag 1.922 1.922 3.068
Sn 0.000 0.000 3.068
O 0.000 1.922 0.000
O 1.922 0.000 0.000

---

# 8
18
Lattice="9.050 0.000 0.000 0.000 9.050 0.000 0.000 0.000 6.526" Properties=species:S:1:pos:R:3 comment="Sr4ZnAs4 | Alexandria via LeMat-Bulk | GGA-PBE | relaxed" total_energy_ev_per_atom=-3.87 dos_at_fermi_per_ev_cell=17.5 pbc="T T T"
Sr 0.143 2.262 0.341
Sr 2.262 0.143 3.604
Sr 2.262 4.381 3.604
Sr 4.381 2.262 0.341
Sr 4.668 6.787 6.186
Sr 6.787 4.668 2.922
Sr 6.787 8.906 2.922
Sr 8.906 6.787 6.186
Zn 2.262 6.787 1.632
Zn 6.787 2.262 4.895
As 0.137 6.787 2.993
As 2.262 4.662 0.270
As 2.262 8.912 0.270
As 4.388 6.787 2.993
As 4.662 2.262 3.533
As 6.787 0.137 6.256
As 6.787 4.388 6.256
As 8.912 2.262 3.533

---

# 9
11
Lattice="8.321 0.000 0.000 0.000 4.206 0.000 -0.483 0.000 9.847" Properties=species:S:1:pos:R:3 comment="Ac4Tl5Ru2 | Alexandria via LeMat-Bulk | GGA-PBE | relaxed" total_energy_ev_per_atom=-4.49 dos_at_fermi_per_ev_cell=9.1 pbc="T T T"
Ac 1.372 0.000 3.280
Ac 1.369 0.000 9.083
Ac 6.469 0.000 0.765
Ac 6.467 0.000 6.567
Tl 0.909 2.103 6.257
Tl 3.580 2.103 1.569
Tl 3.919 2.103 4.924
Tl 4.259 2.103 8.278
Tl 6.930 2.103 3.590
Ru 0.533 2.103 1.197
Ru 7.306 2.103 8.650

---

# 10
10
Lattice="9.104 -2.054 0.000 9.104 2.054 0.000 -3.014 0.000 6.775" Properties=species:S:1:pos:R:3 comment="CeHo5Rh4 | Alexandria via LeMat-Bulk | GGA-PBE | relaxed" total_energy_ev_per_atom=-6.49 dos_at_fermi_per_ev_cell=7.7 pbc="T T T"
Ce 0.000 0.000 0.000
Ho -1.507 0.000 3.387
Ho 4.314 0.000 3.992
Ho 5.849 0.000 0.545
Ho 9.344 0.000 6.230
Ho 10.879 0.000 2.782
Rh 3.050 0.000 1.357
Rh 8.360 0.000 1.676
Rh 6.834 0.000 5.099
Rh 12.144 0.000 5.417

---

# 11
5
Lattice="-2.074 2.074 5.544 2.074 -2.074 5.544 2.074 2.074 -5.544" Properties=species:S:1:pos:R:3 comment="AcTcP2Os | Alexandria via LeMat-Bulk | GGA-PBE | relaxed" total_energy_ev_per_atom=-8.13 dos_at_fermi_per_ev_cell=2.2 pbc="T T T"
Ac 0.000 0.000 0.000
Tc 0.000 2.074 2.772
P 0.000 0.000 3.886
P 0.000 0.000 7.202
Os 2.074 0.000 2.772

---

# 12
6
Lattice="0.000 4.032 4.032 4.032 0.000 4.032 4.032 4.032 0.000" Properties=species:S:1:pos:R:3 comment="TlAs4Pt | Alexandria via LeMat-Bulk | GGA-PBE | relaxed" total_energy_ev_per_atom=-4.00 dos_at_fermi_per_ev_cell=3.4 pbc="T T T"
Tl 0.000 0.000 0.000
As 5.121 2.942 2.942
As 2.942 5.121 2.942
As 2.942 2.942 5.121
As 5.121 5.121 5.121
Pt 2.016 2.016 2.016

---

# 13
10
Lattice="3.912 -3.926 0.000 3.912 3.926 0.000 -3.897 0.000 3.929" Properties=species:S:1:pos:R:3 comment="Ac2CoAgH6 | Alexandria via LeMat-Bulk | GGA-PBE | relaxed" total_energy_ev_per_atom=-4.15 dos_at_fermi_per_ev_cell=5.2 pbc="T T T"
Ac 3.912 1.970 0.000
Ac 3.912 -1.970 0.000
Co -1.948 0.000 1.964
Ag 1.963 0.000 1.964
H -1.951 0.000 3.608
H -0.309 0.000 1.957
H 1.963 2.278 1.964
H 1.963 -2.278 1.964
H 4.235 0.000 1.971
H 5.878 0.000 0.321

---

# 14
8
Lattice="7.342 0.000 0.000 0.000 4.243 0.000 -2.456 0.000 7.026" Properties=species:S:1:pos:R:3 comment="Sr2SmThP4 | Alexandria via LeMat-Bulk | GGA-PBE | relaxed" total_energy_ev_per_atom=-5.91 dos_at_fermi_per_ev_cell=7.9 pbc="T T T"
Sr 0.000 0.000 0.000
Sr 3.671 2.121 0.000
Sm -1.228 2.121 3.513
Th 2.443 0.000 3.513
P 0.003 0.000 5.102
P 1.233 2.121 1.929
P 3.653 2.121 5.097
P 4.884 0.000 1.924

---

# 15
5
Lattice="-2.161 2.161 5.314 2.161 -2.161 5.314 2.161 2.161 -5.314" Properties=species:S:1:pos:R:3 comment="Ti2SbPt2 | Alexandria via LeMat-Bulk | GGA-PBE | relaxed" de_polymorph_mev_per_atom=143.6 formation_energy_uncorrected_ev_per_atom=-0.549 dos_at_fermi_per_ev_cell=4.6 pbc="T T T"
Ti 2.161 0.000 2.657
Ti 0.000 2.161 2.657
Sb 0.000 0.000 0.000
Pt 0.000 0.000 3.994
Pt 0.000 0.000 6.634

---

# 16
6
Lattice="-1.968 1.968 9.418 1.968 -1.968 9.418 1.968 1.968 -9.418" Properties=species:S:1:pos:R:3 comment="TlAu2 | Alexandria via LeMat-Bulk | GGA-PBE | relaxed" de_polymorph_mev_per_atom=76.7 dos_at_fermi_per_ev_cell=1.4 pbc="T T T"
Tl 1.968 0.984 2.355
Tl 0.000 0.984 7.064
Au 1.968 -0.984 5.666
Au 1.968 -0.984 8.461
Au 0.000 2.952 0.957
Au 0.000 2.952 3.752

---

# 17
9
Lattice="4.558 -2.635 0.000 4.558 2.635 0.000 -0.014 0.000 10.183" Properties=species:S:1:pos:R:3 comment="Dy3Ho2In4 | Alexandria via LeMat-Bulk | GGA-PBE | relaxed" de_polymorph_mev_per_atom=0.0 dos_at_fermi_per_ev_cell=7.6 pbc="T T T"
Dy 0.000 0.000 0.000
Dy 3.033 0.000 5.860
Dy 6.070 0.000 4.323
Ho 3.033 0.000 2.276
Ho 6.069 0.000 7.907
In 9.109 0.000 3.512
In -0.007 0.000 6.671
In 3.028 0.000 9.161
In 6.074 0.000 1.022

---

# 18
3
Lattice="-1.753 1.753 7.032 1.753 -1.753 7.032 1.753 1.753 -7.032" Properties=species:S:1:pos:R:3 comment="KScPt | Alexandria via LeMat-Bulk | GGA-PBE | relaxed" de_polymorph_mev_per_atom=0.0 dos_at_fermi_per_ev_cell=2.7 pbc="T T T"
K 0.000 0.000 0.000
Sc 0.000 0.000 10.500
Pt 0.000 0.000 4.511

---

# 19
4
Lattice="0.000 3.383 3.383 3.383 0.000 3.383 3.383 3.383 0.000" Properties=species:S:1:pos:R:3 comment="TlTeRh2 | Alexandria via LeMat-Bulk | GGA-PBE | relaxed" de_polymorph_mev_per_atom=446.8 formation_energy_uncorrected_ev_per_atom=0.432 dos_at_fermi_per_ev_cell=3.9 pbc="T T T"
Tl 0.000 0.000 0.000
Te 5.074 5.074 5.074
Rh 1.691 1.691 1.691
Rh 3.383 3.383 3.383

---

# 20
12
Lattice="3.440 -5.964 0.000 3.440 5.964 0.000 -2.299 0.000 6.673" Properties=species:S:1:pos:R:3 comment="La3Hf2PaP6 | Alexandria via LeMat-Bulk | GGA-PBE | relaxed" total_energy_ev_per_atom=-7.81 dos_at_fermi_per_ev_cell=7.3 pbc="T T T"
La 0.000 0.000 0.000
La 3.440 1.964 0.000
La 3.440 -1.964 0.000
Hf 2.291 3.970 3.337
Hf 2.291 -3.970 3.337
Pa 2.291 0.000 3.337
P 1.118 2.036 1.869
P -0.061 0.000 4.780
P 1.118 -2.036 1.869
P 3.464 2.036 4.804
P 4.642 0.000 1.893
P 3.464 -2.036 4.804

---

# 21
3
Lattice="4.648 0.000 0.000 -2.324 4.025 0.000 0.000 0.000 4.357" Properties=species:S:1:pos:R:3 comment="AcSnRh | Alexandria via LeMat-Bulk | GGA-PBE | relaxed" de_polymorph_mev_per_atom=83.4 dos_at_fermi_per_ev_cell=2.5 pbc="T T T"
Ac 0.000 0.000 0.000
Sn 2.324 1.342 2.179
Rh 0.000 2.684 2.179

---

# 22
6
Lattice="0.000 3.283 3.283 3.283 0.000 3.283 3.283 3.283 0.000" Properties=species:S:1:pos:R:3 comment="VCo4W | Alexandria via LeMat-Bulk | GGA-PBE | relaxed" de_polymorph_mev_per_atom=0.0 dos_at_fermi_per_ev_cell=9.4 pbc="T T T"
V 0.000 0.000 0.000
Co 4.106 2.460 2.460
Co 2.460 4.106 2.460
Co 2.460 2.460 4.106
Co 4.106 4.106 4.106
W 1.641 1.641 1.641

---

# 23
9
Lattice="6.252 0.000 0.000 -3.126 5.414 0.000 0.000 0.000 8.822" Properties=species:S:1:pos:R:3 comment="SbSI | Alexandria via LeMat-Bulk | GGA-PBE | relaxed" formation_energy_uncorrected_ev_per_atom=0.123 pbc="T T T"
Sb 0.000 1.090 2.941
Sb -2.182 4.869 5.882
Sb 2.182 4.869 0.000
S 1.095 0.632 0.000
S 5.157 0.632 5.882
S 3.126 4.150 2.941
I 3.126 0.384 2.941
I 1.896 2.515 5.882
I 4.356 2.515 0.000

---

# 24
8
Lattice="0.000 4.477 5.854 2.658 0.000 5.854 2.658 4.477 0.000" Properties=species:S:1:pos:R:3 comment="TbTc3 | Alexandria via LeMat-Bulk | GGA-PBE | relaxed" total_energy_ev_per_atom=-8.53 dos_at_fermi_per_ev_cell=10.2 pbc="T T T"
Tb 2.658 4.477 1.589
Tb 2.658 4.477 10.119
Tc 1.329 2.239 0.000
Tc 1.329 2.239 2.927
Tc 2.658 4.477 4.600
Tc 1.329 2.239 5.854
Tc 2.658 4.477 7.108
Tc 3.988 6.716 8.781

---

# 25
6
Lattice="2.498 -2.514 0.000 2.498 2.514 0.000 0.000 0.000 10.994" Properties=species:S:1:pos:R:3 comment="AcMoRh | Alexandria via LeMat-Bulk | GGA-PBE | relaxed" total_energy_ev_per_atom=-7.24 dos_at_fermi_per_ev_cell=9.2 pbc="T T T"
Ac 0.000 0.000 1.884
Ac 0.000 0.000 9.111
Mo 2.498 0.000 4.356
Mo 2.498 0.000 6.639
Rh 0.000 0.000 5.497
Rh 2.498 0.000 0.000